Entry from the Alexandria database: a relaxed MnSiAs2Br crystal (PBE-GGA).

- formation energy from raw total energies (eV per atom) = 0.69
- calculated total energy (eV per atom) = -4.422
- excess energy over the best structure of this formula in the dataset (meV per atom) = 75.1
- density of states at the Fermi level (states/eV per cell) = 3.3

Cell lengths 4.8153, 4.8153, 5.0891 Å; angles 90.00, 90.00, 90.00 degrees
Space group P4/mmm (No. 123)
One atom of each set of equivalent atoms:
Mn  0.0000  0.0000  0.0000 (multiplicity 1)
Si  0.5000  0.5000  0.5000 (multiplicity 1)
As  0.0000  0.5000  0.5000 (multiplicity 2)
Br  0.5000  0.5000  0.0000 (multiplicity 1)